# K3CaBi (PBE-GGA, optimized geometry)
data_K3CaBi
_chemical_formula_sum 'K3 Ca1 Bi1'
_space_group_name_H-M_alt 'P m -3 m'
_space_group_IT_number 221
_space_group_name_Hall '-P 4 2 3'
_cell_length_a 6.849
_cell_length_b 6.849
_cell_length_c 6.849
_cell_angle_alpha 90.00
_cell_angle_beta 90.00
_cell_angle_gamma 90.00
loop_
_atom_site_label
_atom_site_fract_x
_atom_site_fract_y
_atom_site_fract_z
K1 0.000 0.000 0.500
Ca1 0.500 0.500 0.500
Bi1 0.000 0.000 0.000
# - E above lowest polymorph (meV per atom) = 0
# - energy of formation from the pure elements (meV per atom) = 38.0
# - total moment (Bohr magnetons per cell) = 0.000

=====

# KCaBi (PBE-GGA, optimized geometry)
data_KCaBi
_chemical_formula_sum 'K1 Ca1 Bi1'
_space_group_name_H-M_alt 'P 3 m 1'
_space_group_IT_number 156
_cell_length_a 5.3511
_cell_length_b 5.3511
_cell_length_c 5.4719
_cell_angle_alpha 90.00
_cell_angle_beta 90.00
_cell_angle_gamma 120.00
loop_
_space_group_symop_operation_xyz
'x,y,z'
'-y,x-y,z'
'-x+y,-x,z'
'-y,-x,z'
'-x+y,y,z'
'x,x-y,z'
loop_
_atom_site_label
_atom_site_fract_x
_atom_site_fract_y
_atom_site_fract_z
K1 0.0000 0.0000 0.0000
Ca1 0.3333 0.6667 0.4982
Bi1 0.6667 0.3333 0.4444
# - energy of formation from the pure elements (meV per atom) = -460.7
# - total moment (Bohr magnetons per cell) = 0.000

=====

# KCa2Bi3 (PBE-GGA, optimized geometry)
data_KCa2Bi3
_chemical_formula_sum 'K1 Ca2 Bi3'
_space_group_name_H-M_alt 'P 4/m m m'
_space_group_IT_number 123
_space_group_name_Hall '-P 4 2'
_cell_length_a 3.709
_cell_length_b 3.709
_cell_length_c 14.348
_cell_angle_alpha 90.00
_cell_angle_beta 90.00
_cell_angle_gamma 90.00
loop_
_atom_site_label
_atom_site_fract_x
_atom_site_fract_y
_atom_site_fract_z
K1 0.000 0.000 0.000
Ca1 0.000 0.000 0.339
Bi1 0.500 0.500 0.187
Bi2 0.500 0.500 0.500
# - energy of formation from the pure elements (meV per atom) = -617.2
# - total moment (Bohr magnetons per cell) = 0.000

=====

# KCaBi (PBE-GGA, optimized geometry)
data_KCaBi
_chemical_formula_sum 'K2 Ca2 Bi2'
_space_group_name_H-M_alt 'P 4/n m m'
_space_group_IT_number 129
_cell_length_a 5.414
_cell_length_b 5.414
_cell_length_c 8.512
_cell_angle_alpha 90.00
_cell_angle_beta 90.00
_cell_angle_gamma 90.00
loop_
_space_group_symop_operation_xyz
'x,y,z'
'-x,-y,-z'
'-y+1/2,x,z'
'y+1/2,-x,-z'
'-x+1/2,-y+1/2,z'
'x+1/2,y+1/2,-z'
'y,-x+1/2,z'
'-y,x+1/2,-z'
'x+1/2,-y,-z'
'-x+1/2,y,z'
'-y,-x,-z'
'y,x,z'
'-x,y+1/2,-z'
'x,-y+1/2,z'
'y+1/2,x+1/2,-z'
'-y+1/2,-x+1/2,z'
loop_
_atom_site_label
_atom_site_fract_x
_atom_site_fract_y
_atom_site_fract_z
K1 0.250 0.250 0.135
Ca1 0.250 0.750 0.500
Bi1 0.250 0.250 0.709
# - energy of formation from the pure elements (meV per atom) = -698.0
# - total moment (Bohr magnetons per cell) = 0.000

=====

# K2CaBi (PBE-GGA, optimized geometry)
data_K2CaBi
_chemical_formula_sum 'K8 Ca4 Bi4'
_space_group_name_H-M_alt 'I -4 2 d'
_space_group_IT_number 122
_space_group_name_Hall 'I -4 2bw'
_cell_length_a 4.974
_cell_length_b 4.974
_cell_length_c 27.017
_cell_angle_alpha 90.00
_cell_angle_beta 90.00
_cell_angle_gamma 90.00
loop_
_atom_site_label
_atom_site_fract_x
_atom_site_fract_y
_atom_site_fract_z
K1 0.225 0.250 0.125
Ca1 0.000 0.000 0.500
Bi1 0.000 0.000 0.000
# - energy of formation from the pure elements (meV per atom) = -132.3
# - total moment (Bohr magnetons per cell) = 2.206

=====

# K3CaBi (PBE-GGA, optimized geometry)
data_K3CaBi
_chemical_formula_sum 'K3 Ca1 Bi1'
_space_group_name_H-M_alt 'P m -3 m'
_space_group_IT_number 221
_space_group_name_Hall '-P 4 2 3'
_cell_length_a 6.809
_cell_length_b 6.809
_cell_length_c 6.809
_cell_angle_alpha 90.00
_cell_angle_beta 90.00
_cell_angle_gamma 90.00
loop_
_atom_site_label
_atom_site_fract_x
_atom_site_fract_y
_atom_site_fract_z
K1 0.000 0.000 0.500
Ca1 0.000 0.000 0.000
Bi1 0.500 0.500 0.500
# - E above lowest polymorph (meV per atom) = 549
# - energy of formation from the pure elements (meV per atom) = 587.0
# - total moment (Bohr magnetons per cell) = 0.000

=====

# KCaBi3 (PBE-GGA, optimized geometry)
data_KCaBi3
_chemical_formula_sum 'K1 Ca1 Bi3'
_space_group_name_H-M_alt 'P m -3 m'
_space_group_IT_number 221
_space_group_name_Hall '-P 4 2 3'
_cell_length_a 5.957
_cell_length_b 5.957
_cell_length_c 5.957
_cell_angle_alpha 90.00
_cell_angle_beta 90.00
_cell_angle_gamma 90.00
loop_
_atom_site_label
_atom_site_fract_x
_atom_site_fract_y
_atom_site_fract_z
K1 0.000 0.000 0.000
Ca1 0.500 0.500 0.500
Bi1 0.000 0.500 0.500
# - E above lowest polymorph (meV per atom) = 0
# - energy of formation from the pure elements (meV per atom) = 40.4
# - total moment (Bohr magnetons per cell) = 0.000

=====

# KCaBi (PBE-GGA, optimized geometry)
data_KCaBi
_chemical_formula_sum 'K8 Ca8 Bi8'
_space_group_name_H-M_alt 'F m m m'
_space_group_IT_number 69
_space_group_name_Hall '-F 2 2'
_cell_length_a 7.417
_cell_length_b 10.380
_cell_length_c 12.727
_cell_angle_alpha 90.00
_cell_angle_beta 90.00
_cell_angle_gamma 90.00
loop_
_atom_site_label
_atom_site_fract_x
_atom_site_fract_y
_atom_site_fract_z
K1 0.000 0.183 0.000
Ca1 0.000 0.000 0.316
Bi1 0.250 0.250 0.250
# - energy of formation from the pure elements (meV per atom) = -477.4
# - total moment (Bohr magnetons per cell) = 2.714

=====

Theoretical density in g/cm³, matching the order above: 1.9 3.5 6.3 3.8 3.3 1.9 5.5 3.9